No. 1
Density functional theory data (meta-GGA SCAN) for TaZnIn2 at its PBEsol-relaxed geometry.

Results
The value obtained for the calculated density is 10.18 Mg/m³. Its energy relative to the elements is 2.6 eV/f.u. Its total moment is 1.61 Bohr magnetons per cell.

a = 4.788 Å, b = 4.788 Å, c = 4.788 Å
α = 60.00°, β = 60.00°, γ = 60.00°
Each line ends with the local moment (μB).
Sites, in units of the cell vectors:
In  0.000  0.000  0.000  -0.02
In  0.750  0.750  0.750  0.00
Ta  0.500  0.500  0.500  1.13
Zn  0.250  0.250  0.250  0.00


No. 2
Density functional theory data (meta-GGA SCAN) for RbSr2LaP at its PBEsol-relaxed geometry.

Results
The value obtained for the calculated density is 3.30 Mg/m³. Its energy relative to the elements is -1.9 eV/f.u. Its total moment is 0.00 Bohr magnetons per cell.

a = 5.764 Å, b = 6.135 Å, c = 6.135 Å
α = 90.00°, β = 90.00°, γ = 90.00°
Sites, in units of the cell vectors:
Sr  0.000  0.000  0.500
Sr  0.000  0.500  0.000
P  0.000  0.000  0.000
Rb  0.500  0.500  0.500
La  0.500  0.000  0.000


No. 3
Density functional theory data (meta-GGA SCAN) for KSn6Au4 at its PBEsol-relaxed geometry.

Results
The value obtained for the calculated density is 9.72 Mg/m³. Its energy relative to the elements is -3.1 eV/f.u. Its total moment is 0.00 Bohr magnetons per cell.

a = 6.637 Å, b = 6.637 Å, c = 12.819 Å
α = 102.88°, β = 102.88°, γ = 97.98°
Sites, in units of the cell vectors:
K  0.000  0.000  0.000
K  0.250  0.750  0.500
Sn  0.617  0.112  0.730
Sn  0.645  0.355  0.000
Sn  0.888  0.383  0.270
Sn  0.137  0.132  0.770
Sn  0.633  0.638  0.770
Sn  0.895  0.105  0.500
Sn  0.868  0.863  0.230
Sn  0.113  0.618  0.730
Sn  0.605  0.395  0.500
Sn  0.355  0.645  0.000
Sn  0.382  0.887  0.270
Sn  0.362  0.367  0.230
Au  0.193  0.193  0.386
Au  0.562  0.062  0.125
Au  0.688  0.688  0.375
Au  0.938  0.438  0.875
Au  0.443  0.943  0.886
Au  0.807  0.807  0.614
Au  0.312  0.312  0.625
Au  0.057  0.557  0.114